No. 1
A relaxed ZnBiP2Cl crystal, computed with PBEsol.

Its formation energy from raw total energies is 349 meV/atom. As for the volume: 20.50 A^3/atom. The density of states at the Fermi level comes out at 0.6272 states/eV/atom.

a = 4.677 Å, b = 4.677 Å, c = 4.686 Å
α = 90.00°, β = 90.00°, γ = 90.00°
Atoms (fractional coordinates):
1 Cl 0.000 0.000 0.500
2 P 0.000 0.500 0.000
3 Bi 0.500 0.500 0.500
4 P 0.500 0.000 0.000
5 Zn 0.000 0.000 0.000

No. 2
A relaxed ReSeBr crystal, computed with PBEsol.

Its formation energy from raw total energies is 96 meV/atom. As for the volume: 20.99 A^3/atom. The density of states at the Fermi level comes out at 0.5786 states/eV/atom.

a = 3.214 Å, b = 3.214 Å, c = 7.039 Å
α = 90.00°, β = 90.00°, γ = 120.00°
Atoms (fractional coordinates):
1 Se 0.667 0.333 0.421
2 Re 0.333 0.667 0.650
3 Br 0.000 0.000 0.929